Record 1
The following is a DFT calculation (PBE-GGA) of a geometry-optimized Gd2AlCd5 structure.

Properties
E: -2.488 eV per atom
Spin magnetization: 0.0 μB/cell

Geometry as CIF:
```
data_Gd2AlCd5
_chemical_formula_sum 'Gd4 Al2 Cd10'
_symmetry_space_group_name_H-M 'A m m 2'
_symmetry_Int_Tables_number 38
_symmetry_space_group_name_Hall 'A 2 -2'
_cell_length_a 4.9100
_cell_length_b 6.5234
_cell_length_c 11.5303
_cell_angle_alpha 90.00
_cell_angle_beta 90.00
_cell_angle_gamma 90.00
loop_
_atom_site_label
_atom_site_type_symbol
_atom_site_fract_x
_atom_site_fract_y
_atom_site_fract_z
_atom_site_occupancy
Gd1 Gd 0.0000 0.0000 0.0000 1
Gd2 Gd 0.5000 0.0000 0.3376 1
Al1 Al 0.5000 0.0000 0.8328 1
Cd1 Cd 0.0000 0.0000 0.5096 1
Cd2 Cd 0.0000 0.2386 0.7527 1
Cd3 Cd 0.5000 0.2416 0.5909 1
```

Record 2
The following is a DFT calculation (PBE-GGA) of a geometry-optimized YTeAuO structure.

Properties
E: -6.194 eV per atom
E above lowest polymorph: 41 meV per atom
Spin magnetization: 0.0 μB/cell

Geometry as CIF:
```
data_YTeAuO
_chemical_formula_sum 'Y2 Te2 Au2 O2'
_symmetry_space_group_name_H-M 'P 4/n m m'
_symmetry_Int_Tables_number 129
_cell_length_a 4.0296
_cell_length_b 4.0296
_cell_length_c 10.0756
_cell_angle_alpha 90.00
_cell_angle_beta 90.00
_cell_angle_gamma 90.00
loop_
_symmetry_equiv_pos_as_xyz
'x,y,z'
'-x,-y,-z'
'-y+1/2,x,z'
'y+1/2,-x,-z'
'-x+1/2,-y+1/2,z'
'x+1/2,y+1/2,-z'
'y,-x+1/2,z'
'-y,x+1/2,-z'
'x+1/2,-y,-z'
'-x+1/2,y,z'
'-y,-x,-z'
'y,x,z'
'-x,y+1/2,-z'
'x,-y+1/2,z'
'y+1/2,x+1/2,-z'
'-y+1/2,-x+1/2,z'
loop_
_atom_site_label
_atom_site_type_symbol
_atom_site_fract_x
_atom_site_fract_y
_atom_site_fract_z
_atom_site_occupancy
Y1 Y 0.2500 0.2500 0.1067 1
Te1 Te 0.2500 0.2500 0.7139 1
Au1 Au 0.2500 0.7500 0.5000 1
O1 O 0.2500 0.7500 0.0000 1
```

Record 3
The following is a DFT calculation (PBE-GGA) of a geometry-optimized LiPbAuSe2S structure.

Properties
E: -3.612 eV per atom

Geometry as CIF:
```
data_LiPbAuSe2S
_chemical_formula_sum 'Li4 Pb4 Au4 Se8 S4'
_symmetry_space_group_name_H-M 'C m c m'
_symmetry_Int_Tables_number 63
_symmetry_space_group_name_Hall '-C 2c 2'
_cell_length_a 3.9363
_cell_length_b 12.1960
_cell_length_c 11.4961
_cell_angle_alpha 90.00
_cell_angle_beta 90.00
_cell_angle_gamma 90.00
loop_
_atom_site_label
_atom_site_type_symbol
_atom_site_fract_x
_atom_site_fract_y
_atom_site_fract_z
_atom_site_occupancy
Li1 Li 0.0000 0.2500 0.2500 1
Pb1 Pb 0.0000 0.0000 0.0000 1
Au1 Au 0.0000 0.4687 0.7500 1
Se1 Se 0.0000 0.3226 0.5815 1
S1 S 0.0000 0.0888 0.7500 1
```

Record 4
The following is a DFT calculation (PBE-GGA) of a geometry-optimized TbHICl structure.

Properties
E: -4.322 eV per atom
E above lowest polymorph: 4 meV per atom
Spin magnetization: 0.0 μB/cell

Geometry as CIF:
```
data_TbHICl
_chemical_formula_sum 'Tb2 H2 I2 Cl2'
_symmetry_space_group_name_H-M 'P -6 m 2'
_symmetry_Int_Tables_number 187
_symmetry_space_group_name_Hall 'P -6 2'
_cell_length_a 3.8861
_cell_length_b 3.8861
_cell_length_c 15.1013
_cell_angle_alpha 90.00
_cell_angle_beta 90.00
_cell_angle_gamma 120.00
loop_
_atom_site_label
_atom_site_type_symbol
_atom_site_fract_x
_atom_site_fract_y
_atom_site_fract_z
_atom_site_occupancy
Tb1 Tb 0.0000 0.0000 0.0000 1
Tb2 Tb 0.0000 0.0000 0.5000 1
H1 H 0.3333 0.6667 0.0000 1
H2 H 0.6667 0.3333 0.5000 1
I1 I 0.3333 0.6667 0.3572 1
Cl1 Cl 0.6667 0.3333 0.1136 1
```

Record 5
The following is a DFT calculation (PBE-GGA) of a geometry-optimized Ta4AlCuC2 structure.

Properties
E: -9.561 eV per atom
Spin magnetization: 0.0 μB/cell

Geometry as CIF:
```
data_Ta4AlCuC2
_chemical_formula_sum 'Ta4 Al1 Cu1 C2'
_symmetry_space_group_name_H-M 'P -6 m 2'
_symmetry_Int_Tables_number 187
_symmetry_space_group_name_Hall 'P -6 2'
_cell_length_a 3.1136
_cell_length_b 3.1136
_cell_length_c 13.5956
_cell_angle_alpha 90.00
_cell_angle_beta 90.00
_cell_angle_gamma 120.00
loop_
_atom_site_label
_atom_site_type_symbol
_atom_site_fract_x
_atom_site_fract_y
_atom_site_fract_z
_atom_site_occupancy
Ta1 Ta 0.0000 0.0000 0.1543 1
Ta2 Ta 0.6667 0.3333 0.3355 1
Al1 Al 0.0000 0.0000 0.5000 1
Cu1 Cu 0.6667 0.3333 0.0000 1
C1 C 0.3333 0.6667 0.2434 1
```

Record 6
The following is a DFT calculation (PBE-GGA) of a geometry-optimized Dy2Y3Al3 structure.

Properties
E: -5.099 eV per atom
E above lowest polymorph: 127 meV per atom
Spin magnetization: 0.0 μB/cell

Geometry as CIF:
```
data_Dy2Y3Al3
_chemical_formula_sum 'Dy2 Y3 Al3'
_symmetry_space_group_name_H-M 'P -6 m 2'
_symmetry_Int_Tables_number 187
_symmetry_space_group_name_Hall 'P -6 2'
_cell_length_a 6.9004
_cell_length_b 6.9004
_cell_length_c 5.1184
_cell_angle_alpha 90.00
_cell_angle_beta 90.00
_cell_angle_gamma 120.00
loop_
_atom_site_label
_atom_site_type_symbol
_atom_site_fract_x
_atom_site_fract_y
_atom_site_fract_z
_atom_site_occupancy
Dy1 Dy 0.0000 0.0000 0.0000 1
Dy2 Dy 0.3333 0.6667 0.5000 1
Y1 Y 0.3478 0.1739 0.5000 1
Al1 Al 0.5233 0.0466 0.0000 1
```

Record 7
The following is a DFT calculation (PBE-GGA) of a geometry-optimized Li3ZrH6 structure.

Properties
E: -3.490 eV per atom
Spin magnetization: 0.1 μB/cell

Geometry as CIF:
```
data_Li3ZrH6
_chemical_formula_sum 'Li12 Zr4 H24'
_symmetry_space_group_name_H-M 'F m -3 m'
_symmetry_Int_Tables_number 225
_symmetry_space_group_name_Hall '-F 4 2 3'
_cell_length_a 7.4594
_cell_length_b 7.4594
_cell_length_c 7.4594
_cell_angle_alpha 90.00
_cell_angle_beta 90.00
_cell_angle_gamma 90.00
loop_
_atom_site_label
_atom_site_type_symbol
_atom_site_fract_x
_atom_site_fract_y
_atom_site_fract_z
_atom_site_occupancy
Li1 Li 0.0000 0.0000 0.0000 1
Li2 Li 0.2500 0.2500 0.2500 1
Zr1 Zr 0.0000 0.0000 0.5000 1
H1 H 0.0000 0.0000 0.2388 1
```

Record 8
The following is a DFT calculation (PBE-GGA) of a geometry-optimized LiLuMo structure.

Properties
E: -4.723 eV per atom
E above lowest polymorph: 0 meV per atom
Spin magnetization: 0.2 μB/cell

Geometry as CIF:
```
data_LiLuMo
_chemical_formula_sum 'Li4 Lu4 Mo4'
_symmetry_space_group_name_H-M 'F -4 3 m'
_symmetry_Int_Tables_number 216
_symmetry_space_group_name_Hall 'F -4 2 3'
_cell_length_a 6.1804
_cell_length_b 6.1804
_cell_length_c 6.1804
_cell_angle_alpha 90.00
_cell_angle_beta 90.00
_cell_angle_gamma 90.00
loop_
_atom_site_label
_atom_site_type_symbol
_atom_site_fract_x
_atom_site_fract_y
_atom_site_fract_z
_atom_site_occupancy
Li1 Li 0.0000 0.0000 0.0000 1
Lu1 Lu 0.2500 0.2500 0.7500 1
Mo1 Mo 0.2500 0.2500 0.2500 1
```